[1]
Below is a geometry-optimized UCo2Si2 structure, with properties calculated at the PBE-GGA level.

## Properties
- Final energy: -7.842 eV/atom
- SG: I4/mmm

The structure in extended XYZ format:
```
5
Lattice="-1.927 1.927 4.801 1.927 -1.927 4.801 1.927 1.927 -4.801" Properties=species:S:1:pos:R:3 pbc="T T T"
U 0.000 0.000 0.000
Co 1.927 0.000 2.401
Co 0.000 1.927 2.401
Si 0.000 0.000 3.610
Si 0.000 0.000 5.992
```

[2]
Below is a geometry-optimized TbNd2Ni4Sn4 structure, with properties calculated at the PBE-GGA level.

## Properties
- Final energy: -5.307 eV/atom
- SG: C2/m

The structure in extended XYZ format:
```
11
Lattice="8.069 -2.249 0.000 8.069 2.249 0.000 -2.973 0.000 6.267" Properties=species:S:1:pos:R:3 pbc="T T T"
Tb 0.000 0.000 0.000
Nd 0.259 0.000 3.965
Nd 12.908 0.000 2.302
Ni 3.352 0.000 3.997
Ni 5.223 0.000 0.080
Ni 7.943 0.000 6.187
Ni 9.814 0.000 2.270
Sn 2.831 0.000 1.346
Sn 7.200 0.000 1.838
Sn 5.966 0.000 4.429
Sn 10.335 0.000 4.922
```

[3]
Below is a geometry-optimized LaLu2Se4 structure, with properties calculated at the PBE-GGA level.

## Properties
- Final energy: -5.692 eV/atom
- SG: Fd-3m

The structure in extended XYZ format:
```
14
Lattice="0.000 5.974 5.974 5.974 0.000 5.974 5.974 5.974 0.000" Properties=species:S:1:pos:R:3 pbc="T T T"
La 1.493 1.493 1.493
La 10.454 10.454 10.454
Lu 5.974 2.987 2.987
Lu 2.987 5.974 2.987
Lu 2.987 2.987 5.974
Lu 5.974 5.974 5.974
Se 3.145 3.145 3.145
Se 5.816 5.816 3.145
Se 5.816 3.145 5.816
Se 8.803 6.131 6.131
Se 3.145 5.816 5.816
Se 6.131 8.803 6.131
Se 6.131 6.131 8.803
Se 8.803 8.803 8.803
```

> final energy of number 2 (TbNd2Ni4Sn4)?

-5.307 eV/atom